{
  "formula": "LiYSb3",
  "functional": "meta-GGA SCAN",
  "state": "single point on PBEsol structure",
  "lattice": [[5.706, 0.000, 0.000], [0.000, 5.706, 0.000], [0.000, 0.000, 5.706]],
  "species": ["Li", "Y", "Sb", "Sb", "Sb"],
  "fractional_positions": [[0.000, 0.000, 0.000], [0.500, 0.500, 0.500], [0.000, 0.500, 0.500], [0.500, 0.000, 0.500], [0.500, 0.500, 0.000]],
  "e_form_raw_mev_per_atom": 127.7,
  "magmom_total_mub_per_cell": 0.0,
  "spacegroup": "Pm-3m (221)"
}